Record 1
! Hf2VHPb | Alexandria via LeMat-Bulk | PBE-GGA | relaxed; values from VASP
&SYSTEM
  ibrav = 0, nat = 5, ntyp = 4
/
ATOMIC_SPECIES
Hf 178.49 Hf.upf
V 50.94 V.upf
Pb 207.20 Pb.upf
H 1.01 H.upf
ATOMIC_POSITIONS angstrom
Hf 2.291 0.000 0.000
V 0.000 0.000 1.938
Pb 2.291 2.291 1.938
H 0.000 0.000 0.000
Hf 0.000 2.291 0.000
CELL_PARAMETERS angstrom
4.581 0.000 0.000
0.000 4.581 0.000
0.000 0.000 3.875
! DFT total energy = -7.245 eV/atom
! spin magnetization = 0.00 μB per atom
! volume = 81.34 Å³/cell
! SG = No. 123

Record 2
! TiCoBr6 | Alexandria via LeMat-Bulk | PBE-GGA | relaxed; values from VASP
&SYSTEM
  ibrav = 0, nat = 8, ntyp = 3
/
ATOMIC_SPECIES
Br 79.90 Br.upf
Ti 47.87 Ti.upf
Co 58.93 Co.upf
ATOMIC_POSITIONS angstrom
Br 2.146 0.681 1.019
Br 3.310 1.784 -2.146
Ti 3.449 -0.336 -0.971
Br 5.750 0.350 -0.007
Br 1.170 4.781 2.238
Br -0.193 3.141 -1.745
Br -2.434 5.111 3.264
Co 0.000 0.000 0.000
CELL_PARAMETERS angstrom
6.897 -0.672 -1.942
-3.780 5.597 -1.949
0.199 0.536 7.149
! spin magnetization = 0.37 μB per atom
! formation energy without anion corrections = -0.718 eV/atom
! volume = 271.37 Å³/cell
! SG = No. 12

Record 3
! Pm6Dy2Y3In | Alexandria via LeMat-Bulk | PBE-GGA | relaxed; values from VASP
&SYSTEM
  ibrav = 0, nat = 12, ntyp = 4
/
ATOMIC_SPECIES
Pm 145.00 Pm.upf
Y 88.91 Y.upf
Dy 162.50 Dy.upf
In 114.82 In.upf
ATOMIC_POSITIONS angstrom
Pm 2.078 3.598 2.875
Y -2.072 3.564 5.803
Dy 0.000 3.575 0.002
Pm 3.072 1.799 8.746
Y 1.025 1.775 5.803
Pm 2.027 -0.011 2.859
Pm 0.023 3.560 8.746
Dy 3.096 1.787 0.002
Pm -0.028 -0.048 8.730
Y 4.122 -0.014 5.803
In 0.000 0.000 0.000
Pm -1.022 1.750 2.859
CELL_PARAMETERS angstrom
6.202 -0.007 0.002
-3.106 5.368 0.002
-1.046 -1.812 11.602
! formation energy = -0.038 eV per atom
! spin magnetization = 0.00 μB per atom
! volume = 386.05 Å³/cell
! SG = No. 12

Record 4
! Ce5PuCu | Alexandria via LeMat-Bulk | PBE-GGA | relaxed; values from VASP
&SYSTEM
  ibrav = 0, nat = 14, ntyp = 3
/
ATOMIC_SPECIES
Ce 140.12 Ce.upf
Pu 244.00 Pu.upf
Cu 63.55 Cu.upf
ATOMIC_POSITIONS angstrom
Ce -6.778 -4.233 5.211
Ce -7.911 -5.335 1.695
Ce -1.004 2.276 3.248
Ce -4.513 -0.437 1.520
Ce -2.863 0.037 4.972
Pu -2.165 -2.230 4.350
Cu -5.127 -5.227 2.431
Ce -5.539 0.132 -1.598
Cu -3.787 2.168 2.513
Ce -4.401 -2.622 3.423
Ce -2.136 1.174 -0.268
Ce -6.051 -3.096 -0.028
Ce -3.375 -3.191 6.541
Pu 0.000 0.000 0.000
CELL_PARAMETERS angstrom
-0.089 4.272 4.340
-4.585 1.402 -3.757
-4.241 -8.733 4.360
! formation energy = 0.042 eV per atom
! spin magnetization = 0.00 μB per atom
! volume = 355.42 Å³/cell
! SG = No. 15